Record 1
Compound: TiNiBi
Source: the Alexandria database
Functional: PBE
Structure: relaxed

Lattice parameters (Å, degrees): 3.1828 3.8448 10.1579 90.00 90.08 90.00
Last column: nearest neighbours and their distance in Å.
Sites, in units of the cell vectors:
Ti 0.0006 0.2500 0.1302  6 Ni 2.57-2.58
Ti 0.9994 0.7500 0.8698  6 Ni 2.57-2.58
Ni 0.4997 0.2500 0.9297  2 Ni 2.39, 6 Ti 2.57-2.58
Ni 0.5003 0.7500 0.0703  2 Ni 2.39, 6 Ti 2.57-2.58
Bi 0.4985 0.2500 0.6654  1 Ni 2.69
Bi 0.5015 0.7500 0.3346  1 Ni 2.69

Output
- E: -6.122 eV per atom
- Formation energy from the elements: -0.2698 eV/atom
- Mass density: 8.43 g cm⁻³
- Fermi-level density of states: 4.6 states/eV per cell

=====

Record 2
Compound: TiTlNiBi2
Source: the Alexandria database
Functional: PBE
Structure: relaxed

Lattice parameters (Å, degrees): 5.4573 5.4573 4.6528 90.00 90.00 90.00
Last column: nearest neighbours and their distance in Å.
Sites, in units of the cell vectors:
Ti 0.0000 0.0000 0.0000  2 Ni 2.33
Tl 0.5000 0.5000 0.5000  8 Bi 3.59, 4 Ni 3.86
Ni 0.0000 0.0000 0.5000  2 Ti 2.33
Bi 0.0000 0.5000 0.0000  2 Ti 2.73
Bi 0.5000 0.0000 0.0000  2 Ti 2.73

Output
- E: -4.320 eV per atom
- Formation energy from the elements: 0.4408 eV/atom
- Mass density: 8.73 g cm⁻³
- Fermi-level density of states: 4.6 states/eV per cell

=====

Record 3
Compound: ZrTiNi2Bi
Source: the Alexandria database
Functional: PBE
Structure: relaxed

Lattice parameters (Å, degrees): 4.6901 4.6901 5.4195 90.00 90.00 90.00
Last column: nearest neighbours and their distance in Å.
Sites, in units of the cell vectors:
Zr 0.0000 0.0000 0.0000  2 Bi 2.71
Ti 0.5000 0.5000 0.0000  4 Zr 3.32, 8 Ni 3.58
Ni 0.0000 0.5000 0.5000  2 Bi 2.35
Ni 0.5000 0.0000 0.5000  2 Bi 2.35
Bi 0.0000 0.0000 0.5000  4 Ni 2.35

Output
- E: -5.262 eV per atom
- Formation energy from the elements: 1.1157 eV/atom
- Mass density: 6.48 g cm⁻³
- Fermi-level density of states: 4.1 states/eV per cell

=====

Record 4
Compound: Tl2NiBi2
Source: the Alexandria database
Functional: PBE
Structure: relaxed

Lattice parameters (Å, degrees): 6.9795 6.9795 5.9376 90.00 90.00 90.00
Last column: nearest neighbours and their distance in Å.
Sites, in units of the cell vectors:
Tl 0.1704 0.3296 0.0000  5 Tl 3.36-3.66, 6 Bi 3.42-3.75
Tl 0.3296 0.8296 0.0000  5 Tl 3.36-3.66, 6 Bi 3.42-3.75
Tl 0.6704 0.1704 0.0000  5 Tl 3.36-3.66, 6 Bi 3.42-3.75
Tl 0.8296 0.6704 0.0000  5 Tl 3.36-3.66, 6 Bi 3.42-3.75
Ni 0.0000 0.0000 0.5000  4 Bi 2.63
Ni 0.5000 0.5000 0.5000  4 Bi 2.63
Bi 0.1582 0.6582 0.5000  2 Ni 2.63
Bi 0.3418 0.1582 0.5000  2 Ni 2.63
Bi 0.6582 0.8418 0.5000  2 Ni 2.63
Bi 0.8418 0.3418 0.5000  2 Ni 2.63

Output
- E: -3.538 eV per atom
- Formation energy from the elements: 0.1167 eV/atom
- Mass density: 10.17 g cm⁻³
- Fermi-level density of states: 5.4 states/eV per cell

=====

Record 5
Compound: TlNiBi2
Source: the Alexandria database
Functional: PBE
Structure: relaxed

Lattice parameters (Å, degrees): 4.1439 4.1439 22.9479 90.00 90.00 120.00
Last column: nearest neighbours and their distance in Å.
Sites, in units of the cell vectors:
Tl 0.0000 0.0000 0.0000  6 Bi 3.43-3.65, 1 Ni 3.64
Tl 0.3333 0.6667 0.6667  6 Bi 3.43-3.65, 1 Ni 3.64
Tl 0.6667 0.3333 0.3333  6 Bi 3.43-3.65, 1 Ni 3.64
Ni 0.0000 0.0000 0.8413  6 Bi 2.67-2.70
Ni 0.3333 0.6667 0.5079  6 Bi 2.67-2.70
Ni 0.6667 0.3333 0.1746  6 Bi 2.67-2.70
Bi 0.0000 0.0000 0.2264  3 Ni 2.67
Bi 0.0000 0.0000 0.4537  3 Ni 2.70
Bi 0.3333 0.6667 0.1204  3 Ni 2.70
Bi 0.3333 0.6667 0.8931  3 Ni 2.67
Bi 0.6667 0.3333 0.5598  3 Ni 2.67
Bi 0.6667 0.3333 0.7871  3 Ni 2.70

Output
- E: -3.969 eV per atom
- Formation energy from the elements: 0.0086 eV/atom
- Mass density: 9.94 g cm⁻³
- Fermi-level density of states: 7.0 states/eV per cell

=====

Record 6
Compound: TlNiBi
Source: the Alexandria database
Functional: PBE
Structure: relaxed

Lattice parameters (Å, degrees): 6.5687 6.5687 6.5687 90.00 90.00 90.00
Last column: nearest neighbours and their distance in Å.
Sites, in units of the cell vectors:
Tl 0.0000 0.0000 0.0000  4 Ni 2.84
Tl 0.0000 0.5000 0.5000  4 Ni 2.84
Tl 0.5000 0.0000 0.5000  4 Ni 2.84
Tl 0.5000 0.5000 0.0000  4 Ni 2.84
Ni 0.2500 0.2500 0.7500  4 Tl 2.84, 4 Bi 2.84
Ni 0.2500 0.7500 0.2500  4 Tl 2.84, 4 Bi 2.84
Ni 0.7500 0.2500 0.2500  4 Tl 2.84, 4 Bi 2.84
Ni 0.7500 0.7500 0.7500  4 Tl 2.84, 4 Bi 2.84
Bi 0.0000 0.0000 0.5000  4 Ni 2.84
Bi 0.0000 0.5000 0.0000  4 Ni 2.84
Bi 0.5000 0.0000 0.0000  4 Ni 2.84
Bi 0.5000 0.5000 0.5000  4 Ni 2.84

Output
- E: -3.874 eV per atom
- Formation energy from the elements: 0.1354 eV/atom
- Mass density: 11.06 g cm⁻³
- Fermi-level density of states: 6.0 states/eV per cell

=====

Record 7
Compound: TlNiBi3
Source: the Alexandria database
Functional: PBE
Structure: relaxed

Lattice parameters (Å, degrees): 5.2890 5.2890 5.2890 90.00 90.00 90.00
Last column: nearest neighbours and their distance in Å.
Sites, in units of the cell vectors:
Tl 0.0000 0.0000 0.0000  12 Bi 3.74
Ni 0.5000 0.5000 0.5000  6 Bi 2.64
Bi 0.0000 0.5000 0.5000  2 Ni 2.64
Bi 0.5000 0.0000 0.5000  2 Ni 2.64
Bi 0.5000 0.5000 0.0000  2 Ni 2.64

Output
- E: -3.721 eV per atom
- Formation energy from the elements: 0.2367 eV/atom
- Mass density: 9.99 g cm⁻³
- Fermi-level density of states: 7.5 states/eV per cell

=====

Record 8
Compound: TlNiBi2
Source: the Alexandria database
Functional: PBE
Structure: relaxed

Lattice parameters (Å, degrees): 7.3973 7.3973 7.3973 90.00 90.00 90.00
Last column: nearest neighbours and their distance in Å.
Sites, in units of the cell vectors:
Tl 0.0000 0.0000 0.0000  8 Bi 3.20
Tl 0.0000 0.5000 0.5000  8 Bi 3.20
Tl 0.5000 0.0000 0.5000  8 Bi 3.20
Tl 0.5000 0.5000 0.0000  8 Bi 3.20
Ni 0.0000 0.0000 0.5000  8 Bi 3.20
Ni 0.0000 0.5000 0.0000  8 Bi 3.20
Ni 0.5000 0.0000 0.0000  8 Bi 3.20
Ni 0.5000 0.5000 0.5000  8 Bi 3.20
Bi 0.2500 0.2500 0.2500  4 Ni 3.20, 4 Tl 3.20
Bi 0.2500 0.2500 0.7500  4 Tl 3.20, 4 Ni 3.20
Bi 0.2500 0.7500 0.2500  4 Tl 3.20, 4 Ni 3.20
Bi 0.2500 0.7500 0.7500  4 Ni 3.20, 4 Tl 3.20
Bi 0.7500 0.2500 0.2500  4 Tl 3.20, 4 Ni 3.20
Bi 0.7500 0.2500 0.7500  4 Ni 3.20, 4 Tl 3.20
Bi 0.7500 0.7500 0.2500  4 Ni 3.20, 4 Tl 3.20
Bi 0.7500 0.7500 0.7500  4 Tl 3.20, 4 Ni 3.20

Output
- E: -3.560 eV per atom
- Formation energy from the elements: 0.4172 eV/atom
- Mass density: 11.18 g cm⁻³
- Fermi-level density of states: 20.4 states/eV per cell

=====

> Among the records above, which one has the lowest Fermi-level density of states?

ZrTiNi2Bi

=====

> What is the formula in the eighth record?

TlNiBi2

=====

> Number 7 is which compound?

TlNiBi3